First-principles (GGA+U) data for MgVCdO4 after structural relaxation, as listed in Alexandria via LeMat-Bulk.

Properties
SG = Imma
E_tot = -6.101 eV per atom
ρ = 4920 kg/m³

Unit cell a=6.2553 b=6.2411 c=6.2411 alpha=58.36 beta=59.92 gamma=59.92
With the nearest neighbours (Å) after each atom.
Sites, in units of the cell vectors:
V: 0.6214 0.6286 0.1286  4 O 1.84-1.87
V: 0.3786 0.3714 0.8714  4 O 1.84-1.87
O: 0.2634 0.7603 0.2603  1 V 1.84
O: 0.2574 0.2412 0.2441  1 V 1.87
O: 0.7159 0.7603 0.2603  1 V 1.84
O: 0.2841 0.2397 0.7397  1 V 1.84
O: 0.2574 0.7441 0.7412  1 V 1.87
O: 0.7426 0.7588 0.7559  1 V 1.87
O: 0.7366 0.2397 0.7397  1 V 1.84
O: 0.7426 0.2559 0.2588  1 V 1.87
Mg: 0.5000 0.0000 0.5000  6 O 2.14-2.18
Mg: 0.0000 0.0000 0.5000  6 O 2.14-2.18
Cd: 0.0000 0.0000 0.0000  6 O 2.29-2.30
Cd: 0.0000 0.5000 0.5000  6 O 2.29-2.30